This record from Alexandria describes a PBEsol-optimized structure of LiCdFe. The functional is SCAN.

DFT total energy = -16.437 eV/atom
E_form = 1.622 eV per formula unit
N(E_F) = 2.5 states/eV/cell
excess energy over the best structure of this formula in the dataset = 0.00 eV per formula unit

abc: 4.297 4.297 4.297
angles: 60.00 60.00 60.00
Sites, in units of the cell vectors:
Li 0.000 0.000 0.000
Cd 0.500 0.500 0.500
Fe 0.750 0.750 0.750